# Na2Co2Cl7 GGA-PBE relaxed
data_Na2Co2Cl7
_chemical_formula_sum 'Na4 Co4 Cl14'
_space_group_name_H-M_alt 'P 1 21/c 1'
_space_group_IT_number 14
_cell_length_a 6.287
_cell_length_b 13.969
_cell_length_c 7.247
_cell_angle_alpha 90.00
_cell_angle_beta 97.74
_cell_angle_gamma 90.00
loop_
_space_group_symop_operation_xyz
'x,y,z'
'-x,-y,-z'
'-x,y+1/2,-z+1/2'
'x,-y+1/2,z+1/2'
loop_
_atom_site_label
_atom_site_type_symbol
_atom_site_fract_x
_atom_site_fract_y
_atom_site_fract_z
Na1 Na 0.104 0.152 0.414
Co1 Co 0.351 0.614 0.660
Cl1 Cl 0.096 0.681 0.464
Cl2 Cl 0.210 0.545 0.891
Cl3 Cl 0.392 0.213 0.730
Cl4 Cl 0.500 0.000 0.000
# ΔE_f (raw) ... -1038 kJ/mol of formula units
# Fermi-level density of states ... 0.662 states/eV per atom